A relaxed RbTi3Ge crystal, computed with PBE.

Values from the calculation:
polymorph energy (0 for the lowest one): 1173.1 meV/atom
ΔH_f (0 K): 984 kJ/mol of formula units
symmetry: No. 221
total moment: 1.5 μB/cell

Geometry as extended XYZ:
```
5
Lattice="-4.200 -0.520 2.001 0.551 -4.649 -0.052 1.993 0.189 4.232" Properties=species:S:1:pos:R:3 pbc="T T T"
Ge -0.828 -2.490 3.091
Rb 0.000 0.000 0.000
Ti 0.275 -2.324 -0.026
Ti 0.997 0.094 2.116
Ti -2.100 -0.260 1.001
```